The following is a DFT calculation (PBE) of a geometry-optimized GePtCO2 structure.

Properties
Spin magnetization, μB per formula unit: 1.174
Energy relative to the elements, uncorrected, eV/atom: 1.116
Fermi-level density of states, states/eV per cell: 3.8
SG: P4/mmm

Cell lengths 3.7072, 5.8393, 3.7072 Å; angles 90.00, 90.00, 90.00 degrees
Last column: nearest neighbours and their distance in Å.
Fractional coordinates of all 5 atoms:
Pt: 0.0000 0.0000 0.0000  4 O 1.85
C: 0.5000 0.5000 0.5000  4 Ge 2.62
O: 0.5000 0.0000 0.0000  2 Pt 1.85
O: 0.0000 0.0000 0.5000  2 Pt 1.85
Ge: 0.0000 0.5000 0.0000  4 C 2.62, 2 Pt 2.92